# TlReMo4

A relaxed TlReMo4 crystal (PBE, Alexandria).

The formation energy is 0.57 eV/atom. The density of states at the Fermi level is 6.3 states/eV/cell.

a = 5.2507 Å, b = 5.2507 Å, c = 5.2507 Å
α = 60.00°, β = 60.00°, γ = 60.00°
Fractional coordinates of all 6 atoms:
Mo 0.8777 0.3741 0.3741
Mo 0.3741 0.3741 0.3741
Mo 0.3741 0.3741 0.8777
Mo 0.3741 0.8777 0.3741
Tl 0.0000 0.0000 0.0000
Re 0.7500 0.7500 0.7500